## SrLa2Rh2 (GGA-PBE)

Data for a relaxed SrLa2Rh2 crystal.

Computed properties:
- ΔE_f (meV/atom) = -511
- M_tot (μB/f.u.) = 0.00
- total energy (hartree per atom) = -0.2116

Lattice parameters (Å, degrees): 8.2660 8.2660 3.9029 90.00 90.00 90.00
Fractional positions:
La1 0.8502 0.3502 0.5000
La2 0.1498 0.6498 0.5000
La3 0.3502 0.1498 0.5000
La4 0.6498 0.8502 0.5000
Rh1 0.6394 0.1394 0.0000
Rh2 0.3606 0.8606 0.0000
Rh3 0.1394 0.3606 0.0000
Rh4 0.8606 0.6394 0.0000
Sr1 0.5000 0.5000 0.0000
Sr2 0.0000 0.0000 0.0000